No. 1
Below is a relaxed structure of RbFeTe3, with properties calculated at the PBE-GGA level.

abc: 5.260 5.260 5.260
angles: 90.00 90.00 90.00
Atoms (fractional coordinates):
Rb (0.000, 0.000, 0.000)
Fe (0.500, 0.500, 0.500)
Te (0.000, 0.500, 0.500)
Te (0.500, 0.000, 0.500)
Te (0.500, 0.500, 0.000)

Computed properties:
Calculated volume = 29.10 A^3/atom
Magnetic moment = 0.0 μB/cell
Total DFT energy (no corrections) = -0.2749 Ry per atom

No. 2
Below is a relaxed structure of Rb2FeTe, with properties calculated at the PBE-GGA level.

abc: 5.421 5.421 23.364
angles: 90.00 90.00 90.00
Atoms (fractional coordinates):
Rb (0.244, 0.250, 0.125)
Rb (0.250, 0.744, 0.375)
Rb (0.250, 0.756, 0.875)
Rb (0.256, 0.250, 0.625)
Rb (0.744, 0.750, 0.625)
Rb (0.750, 0.244, 0.875)
Rb (0.750, 0.256, 0.375)
Rb (0.756, 0.750, 0.125)
Fe (0.000, 0.000, 0.000)
Fe (0.000, 0.500, 0.250)
Fe (0.500, 0.000, 0.750)
Fe (0.500, 0.500, 0.500)
Te (0.000, 0.000, 0.500)
Te (0.000, 0.500, 0.750)
Te (0.500, 0.000, 0.250)
Te (0.500, 0.500, 0.000)

Computed properties:
Calculated volume = 42.91 A^3/atom
Magnetic moment = 14.0 μB/cell
Total DFT energy (no corrections) = -0.2064 Ry per atom

No. 3
Below is a relaxed structure of RbFeTe, with properties calculated at the PBE-GGA level.

abc: 4.119 4.119 11.506
angles: 90.00 90.00 90.00
Atoms (fractional coordinates):
Rb (0.250, 0.250, 0.191)
Rb (0.750, 0.750, 0.809)
Fe (0.250, 0.750, 0.500)
Fe (0.750, 0.250, 0.500)
Te (0.250, 0.250, 0.623)
Te (0.750, 0.750, 0.377)

Computed properties:
Calculated volume = 32.53 A^3/atom
Magnetic moment = 0.0 μB/cell
Total DFT energy (no corrections) = -0.3180 Ry per atom

No. 4
Below is a relaxed structure of Rb3TiFe, with properties calculated at the PBE-GGA level.

abc: 6.581 6.581 6.581
angles: 90.00 90.00 90.00
Atoms (fractional coordinates):
Rb (0.000, 0.000, 0.500)
Rb (0.000, 0.500, 0.000)
Rb (0.500, 0.000, 0.000)
Ti (0.500, 0.500, 0.500)
Fe (0.000, 0.000, 0.000)

Computed properties:
Calculated volume = 57.00 A^3/atom
Magnetic moment = 1.0 μB/cell
Total DFT energy (no corrections) = -0.1736 Ry per atom
ΔE_f = 1490 meV/atom

No. 5
Below is a relaxed structure of RbTi3Fe, with properties calculated at the PBE-GGA level.

abc: 4.602 4.602 4.602
angles: 90.00 90.00 90.00
Atoms (fractional coordinates):
Rb (0.000, 0.000, 0.000)
Ti (0.000, 0.000, 0.500)
Ti (0.000, 0.500, 0.000)
Ti (0.500, 0.000, 0.000)
Fe (0.500, 0.500, 0.500)

Computed properties:
Calculated volume = 19.50 A^3/atom
Magnetic moment = 0.0 μB/cell
Total DFT energy (no corrections) = -0.3050 Ry per atom
ΔE_f = 2473 meV/atom
E above lowest polymorph = 1724 meV/atom

No. 6
Below is a relaxed structure of RbTi3Fe, with properties calculated at the PBE-GGA level.

abc: 4.747 4.747 4.747
angles: 90.00 90.00 90.00
Atoms (fractional coordinates):
Rb (0.000, 0.000, 0.000)
Ti (0.000, 0.500, 0.500)
Ti (0.500, 0.000, 0.500)
Ti (0.500, 0.500, 0.000)
Fe (0.500, 0.500, 0.500)

Computed properties:
Calculated volume = 21.39 A^3/atom
Magnetic moment = 0.0 μB/cell
Total DFT energy (no corrections) = -0.4317 Ry per atom
ΔE_f = 750 meV/atom
E above lowest polymorph = 0 meV/atom

No. 7
Below is a relaxed structure of RbTl2Fe, with properties calculated at the PBE-GGA level.

abc: 6.694 6.694 15.313
angles: 90.00 90.00 90.00
Atoms (fractional coordinates):
Rb (0.000, 0.250, 0.375)
Rb (0.000, 0.750, 0.625)
Rb (0.500, 0.250, 0.125)
Rb (0.500, 0.750, 0.875)
Tl (0.000, 0.000, 0.000)
Tl (0.000, 0.500, 0.000)
Tl (0.250, 0.250, 0.750)
Tl (0.250, 0.750, 0.250)
Tl (0.500, 0.000, 0.500)
Tl (0.500, 0.500, 0.500)
Tl (0.750, 0.250, 0.750)
Tl (0.750, 0.750, 0.250)
Fe (0.000, 0.250, 0.875)
Fe (0.000, 0.750, 0.125)
Fe (0.500, 0.250, 0.625)
Fe (0.500, 0.750, 0.375)

Computed properties:
Calculated volume = 42.89 A^3/atom
Magnetic moment = 7.3 μB/cell
Total DFT energy (no corrections) = -0.2253 Ry per atom
ΔE_f = 475 meV/atom

No. 8
Below is a relaxed structure of RbTl2Fe, with properties calculated at the PBE-GGA level.

abc: 7.769 7.769 7.769
angles: 90.00 90.00 90.00
Atoms (fractional coordinates):
Rb (0.000, 0.000, 0.000)
Rb (0.000, 0.500, 0.500)
Rb (0.500, 0.000, 0.500)
Rb (0.500, 0.500, 0.000)
Tl (0.250, 0.250, 0.250)
Tl (0.250, 0.250, 0.750)
Tl (0.250, 0.750, 0.250)
Tl (0.250, 0.750, 0.750)
Tl (0.750, 0.250, 0.250)
Tl (0.750, 0.250, 0.750)
Tl (0.750, 0.750, 0.250)
Tl (0.750, 0.750, 0.750)
Fe (0.000, 0.000, 0.500)
Fe (0.000, 0.500, 0.000)
Fe (0.500, 0.000, 0.000)
Fe (0.500, 0.500, 0.500)

Computed properties:
Calculated volume = 29.31 A^3/atom
Magnetic moment = 11.6 μB/cell
Total DFT energy (no corrections) = -0.2104 Ry per atom
ΔE_f = 678 meV/atom

No. 9
Below is a relaxed structure of RbTlFe3, with properties calculated at the PBE-GGA level.

abc: 5.180 5.180 5.180
angles: 90.00 90.00 90.00
Atoms (fractional coordinates):
Rb (0.000, 0.000, 0.000)
Tl (0.500, 0.500, 0.500)
Fe (0.000, 0.500, 0.500)
Fe (0.500, 0.000, 0.500)
Fe (0.500, 0.500, 0.000)

Computed properties:
Calculated volume = 27.80 A^3/atom
Magnetic moment = 9.6 μB/cell
Total DFT energy (no corrections) = -0.3137 Ry per atom
ΔE_f = 1476 meV/atom
E above lowest polymorph = 0 meV/atom

No. 10
Below is a relaxed structure of RbTlFe3, with properties calculated at the PBE-GGA level.

abc: 4.830 4.830 4.830
angles: 90.00 90.00 90.00
Atoms (fractional coordinates):
Rb (0.000, 0.000, 0.000)
Tl (0.500, 0.500, 0.500)
Fe (0.000, 0.000, 0.500)
Fe (0.000, 0.500, 0.000)
Fe (0.500, 0.000, 0.000)

Computed properties:
Calculated volume = 22.53 A^3/atom
Magnetic moment = 7.9 μB/cell
Total DFT energy (no corrections) = -0.2464 Ry per atom
ΔE_f = 2392 meV/atom
E above lowest polymorph = 915 meV/atom

No. 11
Below is a relaxed structure of RbTl2VFe, with properties calculated at the PBE-GGA level.

abc: 5.139 5.139 5.683
angles: 90.00 90.00 90.00
Atoms (fractional coordinates):
Rb (0.000, 0.000, 0.000)
Tl (0.000, 0.500, 0.500)
Tl (0.500, 0.000, 0.500)
V (0.500, 0.500, 0.000)
Fe (0.000, 0.000, 0.500)

Computed properties:
Calculated volume = 30.02 A^3/atom
Magnetic moment = 4.3 μB/cell
Total DFT energy (no corrections) = -0.2513 Ry per atom
ΔE_f = 1237 meV/atom

No. 12
Below is a relaxed structure of RbYTl2Fe, with properties calculated at the PBE-GGA level.

abc: 5.888 5.888 4.646
angles: 90.00 90.00 90.00
Atoms (fractional coordinates):
Rb (0.000, 0.000, 0.000)
Y (0.500, 0.500, 0.500)
Tl (0.000, 0.500, 0.000)
Tl (0.500, 0.000, 0.000)
Fe (0.000, 0.000, 0.500)

Computed properties:
Calculated volume = 32.22 A^3/atom
Magnetic moment = 0.1 μB/cell
Total DFT energy (no corrections) = -0.1929 Ry per atom
ΔE_f = 1501 meV/atom